## CoHg2Os (SCAN)

Data for CoHg2Os at its PBEsol-relaxed geometry.

Output
Formation energy from the elements, eV per atom: 0.72
Raw total energy, Ry/atom: -4.09068
Excess energy over the best structure of this formula in the dataset, kcal/mol of atoms: 0.00

```
CoHg2Os
1.0
10.4064 0.0000 0.0000
0.0000 2.7884 0.0000
-1.8650 0.0000 4.4609
Co Hg Os
2 4 2
direct
0.0000 0.0000 0.0000
0.5000 0.5000 0.0000
0.0429 0.5000 0.5210
0.2560 0.5000 0.1458
0.5429 0.0000 0.5210
0.7560 0.0000 0.1458
0.3077 0.0000 0.6830
0.8077 0.5000 0.6830
```

---

## ScTiSN2 (SCAN)

Data for ScTiSN2 at its PBEsol-relaxed geometry.

Output
Formation energy (no corrections), eV per atom: -0.792
Raw total energy, Ry/atom: -0.91782

```
ScTiSN2
1.0
3.8302 0.0000 0.0000
0.0000 3.8302 0.0000
0.0000 0.0000 4.7917
Sc Ti S N
1 1 1 2
direct
0.0000 0.0000 0.0000
0.5000 0.5000 0.5000
0.5000 0.5000 0.0000
0.0000 0.5000 0.5000
0.5000 0.0000 0.5000
```